Entry 1:
Entry from Alexandria via LeMat-Bulk: a geometry-optimized Nd2YTl structure (PBE).

Summary:
Mass density: 7.37 Mg/m³
Relative energy among the computed polymorphs: 12.1 kJ per mole of atoms
Energy: -18.70 eV per formula unit

a b c (Å): 3.6534 3.6534 34.0207
angles (deg): 90.00 90.00 120.00
Last column: nearest neighbours and their distance in Å.
Space group R-3m (No. 166, hexagonal axes)
One atom of each set of equivalent atoms:
Nd  0.0000  0.0000  0.2469 x6  3 Tl 3.45, 3 Y 3.62, 6 Nd 3.65
Y  0.0000  0.0000  0.0000 x3  6 Nd 3.62, 6 Y 3.65
Tl  0.0000  0.0000  0.5000 x3  6 Nd 3.45, 6 Tl 3.65

Entry 2:
Entry from Alexandria via LeMat-Bulk: a geometry-optimized Nd3YTl3 structure (PBE).

Summary:
Mass density: 8.62 Mg/m³
Relative energy among the computed polymorphs: 0.0 kJ per mole of atoms
Energy: -29.88 eV per formula unit

a b c (Å): 9.5628 9.5628 9.5628
angles (deg): 90.00 90.00 90.00
Last column: nearest neighbours and their distance in Å.
Space group P2_13 (No. 198)
One atom of each set of equivalent atoms:
Nd  0.0698  0.4302  0.5698 x4  6 Tl 3.22-3.38
Nd  0.1737  0.8263  0.3263 x4  6 Tl 3.22-3.44
Nd  0.1763  0.1763  0.1763 x4  6 Tl 3.21-3.47
Y  0.0732  0.5732  0.9268 x4  6 Tl 3.18-3.38
Tl  0.0015  0.2538  0.8683 x12  2 Y 3.18-3.38, 6 Nd 3.21-3.47

Entry 3:
Entry from Alexandria via LeMat-Bulk: a geometry-optimized NdYTl4 structure (PBE).

Summary:
Mass density: 10.17 Mg/m³
Relative energy among the computed polymorphs: 6.7 kJ per mole of atoms
Energy: -21.30 eV per formula unit

a b c (Å): 8.8214 8.8214 8.8214
angles (deg): 90.00 90.00 90.00
Last column: nearest neighbours and their distance in Å.
Space group F-43m (No. 216)
One atom of each set of equivalent atoms:
Nd  0.0000  0.0000  0.0000 x4  12 Tl 3.66, 4 Y 3.82
Y  0.2500  0.2500  0.2500 x4  12 Tl 3.66, 4 Nd 3.82
Tl  0.1250  0.1250  0.6250 x16  6 Tl 3.12